[1]
4
Lattice="-3.338 0.133 -1.857 -0.933 -2.294 1.513 -3.092 1.345 5.655" Properties=species:S:1:pos:R:3 comment="CaCu2Ir, optimized geometry, DFT GGA-PBE" polymorph_energy_ev_per_atom=0.1840 volume_a3_per_cell=65.7 sg="P2/m, No. 10" delta_e_f_kj_per_mol_atoms=8.9 dos_ef_per_ev_atom=0.741 pbc="T T T"
Ca -4.688 -0.645 4.448
Ir -2.675 -0.171 0.864
Cu -1.044 -2.107 1.726
Cu -1.902 -0.662 3.371


[2]
4
Lattice="3.423 0.015 0.000 -0.015 3.423 0.000 0.000 0.000 8.038" Properties=species:S:1:pos:R:3 comment="Ca2CuIr, optimized geometry, DFT GGA-PBE" volume_a3_per_cell=94.2 sg="P4mm, No. 99" delta_e_f_kj_per_mol_atoms=-1.8 dos_ef_per_ev_atom=0.669 pbc="T T T"
Ca 0.000 0.000 7.355
Ca 1.704 1.719 2.680
Ir 1.704 1.719 5.509
Cu 0.000 0.000 4.552


[3]
8
Lattice="-3.934 -1.235 1.668 1.942 -0.923 3.894 -2.524 7.593 5.600" Properties=species:S:1:pos:R:3 comment="Ca2CuIr, optimized geometry, DFT GGA-PBE" volume_a3_per_cell=182.9 sg="I-42d, No. 122" delta_e_f_kj_per_mol_atoms=49.3 dos_ef_per_ev_atom=0.564 pbc="T T T"
Ca -2.871 1.003 2.939
Ca 0.114 1.174 4.032
Ca -2.652 4.891 6.262
Ca -3.625 3.801 9.090
Ir 0.000 0.000 0.000
Ir -3.727 2.639 5.025
Cu -0.996 -1.079 2.781
Cu -0.790 2.795 6.137


[4]
6
Lattice="-3.702 3.068 1.942 0.854 -0.087 -5.114 -0.779 -5.305 -0.019" Properties=species:S:1:pos:R:3 comment="Ca2Cu3Ir, optimized geometry, DFT GGA-PBE" volume_a3_per_cell=103.8 sg="C2/m, No. 12" delta_e_f_kj_per_mol_atoms=-26.1 dos_ef_per_ev_atom=0.298 pbc="T T T"
Ca -2.538 1.624 -0.461
Ca -1.090 -3.948 -2.731
Cu -1.814 -1.162 -1.596
Cu -0.390 -2.652 -0.010
Cu -2.241 -1.118 0.961
Ir 0.000 0.000 0.000


[5]
6
Lattice="0.000 3.515 3.515 3.515 0.000 3.515 3.515 3.515 0.000" Properties=species:S:1:pos:R:3 comment="CaCu4Ir, optimized geometry, DFT GGA-PBE" volume_a3_per_cell=86.9 sg="F-43m, No. 216" delta_e_f_kj_per_mol_atoms=-2.9 dos_ef_per_ev_atom=0.486 pbc="T T T"
Ca 0.000 0.000 0.000
Cu 2.643 4.388 4.388
Cu 4.388 4.388 2.643
Cu 4.388 2.643 4.388
Cu 2.643 2.643 2.643
Ir 5.273 5.273 5.273


[6]
4
Lattice="-0.724 3.387 -8.541 -0.325 0.628 -9.189 -2.951 1.590 -8.585" Properties=species:S:1:pos:R:3 comment="CaCu2Ir, optimized geometry, DFT GGA-PBE" polymorph_energy_ev_per_atom=0.6106 volume_a3_per_cell=64.3 sg="R-3m, No. 166" delta_e_f_kj_per_mol_atoms=50.1 dos_ef_per_ev_atom=1.234 pbc="T T T"
Ca -3.000 4.204 -19.737
Ir -1.000 1.401 -6.579
Cu -3.972 5.567 -26.135
Cu -2.028 2.841 -13.340